Entry 1:
The following is a PBE calculation of a relaxed Ta5Cr11 crystal, from the Alexandria database.

a b c (Å): 6.0260 6.0298 6.0626
angles (deg): 90.00 90.73 90.00
Closest atoms and distances in Å follow each position.
Fractional positions:
Ta: 0.0000 0.0000 0.0000  6 Cr 2.56-2.63, 2 Ta 2.72
Ta: 0.0012 0.0000 0.5151  6 Cr 2.60-2.69, 2 Ta 2.73
Ta: 0.4730 0.5000 0.5216  6 Cr 2.52-2.60, 2 Ta 2.71
Ta: 0.7305 0.2540 0.2523  5 Cr 2.61-2.68, 3 Ta 2.71-2.73
Ta: 0.7305 0.7460 0.2523  5 Cr 2.61-2.68, 3 Ta 2.71-2.73
Cr: 0.2397 0.2555 0.2537  5 Cr 2.55-2.67, 3 Ta 2.59-2.65
Cr: 0.2397 0.7445 0.2537  5 Cr 2.55-2.67, 3 Ta 2.59-2.65
Cr: 0.2422 0.2549 0.7663  5 Cr 2.48-2.61, 3 Ta 2.52-2.60
Cr: 0.2422 0.7451 0.7663  5 Cr 2.48-2.61, 3 Ta 2.52-2.60
Cr: 0.4743 0.5000 0.0038  6 Cr 2.48-2.62, 2 Ta 2.61
Cr: 0.4830 0.0000 0.9970  6 Cr 2.52-2.65, 2 Ta 2.63
Cr: 0.4847 0.0000 0.5177  6 Cr 2.59-2.66, 2 Ta 2.68
Cr: 0.7342 0.2534 0.7613  5 Cr 2.59-2.62, 3 Ta 2.60-2.69
Cr: 0.7342 0.7466 0.7613  5 Cr 2.59-2.62, 3 Ta 2.60-2.69
Cr: 0.9878 0.5000 0.5188  6 Cr 2.59-2.67, 2 Ta 2.67
Cr: 0.9943 0.5000 0.0000  6 Cr 2.54-2.59, 2 Ta 2.67

Properties
- Energy of formation from the pure elements: 0.10 eV per atom
- Magnetization: 0.00 μB per cell
- Space group: Pm, No. 6


Entry 2:
The following is a PBE calculation of a relaxed TbSm2Tm2Sc crystal, from the Alexandria database.

a b c (Å): 5.5776 10.7399 6.2065
angles (deg): 90.00 90.00 90.00
Closest atoms and distances in Å follow each position.
Fractional positions:
Tb: 0.0000 0.2440 0.0000  2 Sc 3.45, 5 Tm 3.46-3.65, 5 Sm 3.49-3.64
Tb: 0.0000 0.7560 0.5000  2 Sc 3.45, 5 Tm 3.46-3.65, 5 Sm 3.49-3.64
Sm: 0.0000 0.4173 0.4951  5 Tm 3.47-3.65, 4 Sm 3.52-3.58, 3 Tb 3.59-3.64
Sm: 0.0000 0.5827 0.9951  5 Tm 3.47-3.65, 4 Sm 3.52-3.58, 3 Tb 3.59-3.64
Sm: 0.5000 0.2425 0.6616  3 Sc 3.46-3.57, 5 Tm 3.48-3.71, 2 Tb 3.49, 2 Sm 3.52
Sm: 0.5000 0.7575 0.1616  3 Sc 3.46-3.57, 5 Tm 3.48-3.71, 2 Tb 3.49, 2 Sm 3.52
Tm: 0.0000 0.0778 0.4872  4 Sc 3.44-3.45, 3 Tb 3.46-3.65, 3 Sm 3.48-3.65, 2 Tm 3.52
Tm: 0.0000 0.9222 0.9872  4 Sc 3.44-3.45, 3 Tb 3.46-3.65, 3 Sm 3.48-3.65, 2 Tm 3.52
Tm: 0.5000 0.4122 0.1622  7 Sm 3.47-3.71, 2 Tb 3.47, 1 Sc 3.57, 2 Tm 3.63
Tm: 0.5000 0.5878 0.6622  7 Sm 3.47-3.71, 2 Tb 3.47, 1 Sc 3.57, 2 Tm 3.63
Sc: 0.5000 0.0798 0.1608  5 Tm 3.44-3.57, 2 Tb 3.45, 3 Sm 3.46-3.57, 2 Sc 3.55
Sc: 0.5000 0.9202 0.6608  5 Tm 3.44-3.57, 2 Tb 3.45, 3 Sm 3.46-3.57, 2 Sc 3.55

Properties
- Energy of formation from the pure elements: 0.03 eV per atom
- Magnetization: 0.00 μB per cell
- Space group: Pmc2_1, No. 26


Entry 3:
The following is a PBE calculation of a relaxed K2ZnSb crystal, from the Alexandria database.

a b c (Å): 6.9138 6.9138 5.9798
angles (deg): 90.00 90.00 78.33
Closest atoms and distances in Å follow each position.
Fractional positions:
K: 0.0245 0.3213 0.2500  4 Sb 3.60-3.85, 5 K 3.71-3.96, 4 Zn 3.89-4.03
K: 0.3213 0.0245 0.7500  4 Sb 3.60-3.85, 5 K 3.71-3.96, 4 Zn 3.89-4.03
K: 0.6787 0.9755 0.2500  4 Sb 3.60-3.85, 5 K 3.71-3.96, 4 Zn 3.89-4.03
K: 0.9755 0.6787 0.7500  4 Sb 3.60-3.85, 5 K 3.71-3.96, 4 Zn 3.89-4.03
Zn: 0.5000 0.5000 0.0000  2 Sb 2.73, 2 Zn 2.99
Zn: 0.5000 0.5000 0.5000  2 Sb 2.73, 2 Zn 2.99
Sb: 0.2386 0.7614 0.2500  2 Zn 2.73
Sb: 0.7614 0.2386 0.7500  2 Zn 2.73

Properties
- Magnetization: 0.00 μB per cell
- E above lowest polymorph: 0.028 eV/atom
- Space group: Cmcm, No. 63
- Formation energy (no corrections): -214 meV per atom


Entry 4:
The following is a PBE calculation of a relaxed SrMg3Cd2 crystal, from the Alexandria database.

a b c (Å): 10.7963 10.7963 4.7748
angles (deg): 90.00 90.00 120.00
Closest atoms and distances in Å follow each position.
Fractional positions:
Sr: 0.0000 0.0000 0.0000  6 Cd 3.55
Sr: 0.3333 0.6667 0.5000  6 Cd 3.59, 12 Mg 3.79-3.93
Sr: 0.6667 0.3333 0.5000  6 Cd 3.59, 12 Mg 3.79-3.93
Mg: 0.0000 0.3007 0.5000  4 Cd 2.98, 4 Mg 3.21-3.25
Mg: 0.0000 0.5000 0.0000  4 Cd 2.92, 4 Mg 3.21
Mg: 0.0000 0.6993 0.5000  4 Cd 2.98, 4 Mg 3.21-3.25
Mg: 0.3007 0.0000 0.5000  4 Cd 2.98, 4 Mg 3.21-3.25
Mg: 0.3007 0.3007 0.5000  4 Cd 2.98, 4 Mg 3.21-3.25
Mg: 0.5000 0.0000 0.0000  4 Cd 2.92, 4 Mg 3.21
Mg: 0.5000 0.5000 0.0000  4 Cd 2.92, 4 Mg 3.21
Mg: 0.6993 0.0000 0.5000  4 Cd 2.98, 4 Mg 3.21-3.25
Mg: 0.6993 0.6993 0.5000  4 Cd 2.98, 4 Mg 3.21-3.25
Cd: 0.1900 0.3800 0.0000  6 Mg 2.92-2.98
Cd: 0.1900 0.8100 0.0000  6 Mg 2.92-2.98
Cd: 0.3800 0.1900 0.0000  6 Mg 2.92-2.98
Cd: 0.6200 0.8100 0.0000  6 Mg 2.92-2.98
Cd: 0.8100 0.1900 0.0000  6 Mg 2.92-2.98
Cd: 0.8100 0.6200 0.0000  6 Mg 2.92-2.98

Properties
- Energy of formation from the pure elements: -0.18 eV per atom
- Magnetization: 0.00 μB per cell
- E above lowest polymorph: 0.000 eV/atom
- Space group: P6/mmm, No. 191


Entry 5:
The following is a PBE calculation of a relaxed Np3PS6 crystal, from the Alexandria database.

a b c (Å): 8.4089 8.4089 6.6520
angles (deg): 90.00 90.00 106.37
Closest atoms and distances in Å follow each position.
Fractional positions:
Np: 0.0995 0.9005 0.5000  7 S 2.65-2.82
Np: 0.2311 0.4375 0.5777  7 S 2.74-2.84
Np: 0.4375 0.2311 0.0777  7 S 2.74-2.84
Np: 0.5625 0.7689 0.5777  7 S 2.74-2.84
Np: 0.7689 0.5625 0.0777  7 S 2.74-2.84
Np: 0.9005 0.0995 0.0000  7 S 2.65-2.82
P: 0.3095 0.6905 0.2261  2 S 2.16
P: 0.6905 0.3095 0.7261  2 S 2.16
S: 0.0534 0.5951 0.3188  1 P 2.16
S: 0.1439 0.1977 0.2823  4 Np 2.73-2.82
S: 0.1977 0.1439 0.7823  4 Np 2.73-2.82
S: 0.2565 0.7435 0.7394  3 Np 2.65-2.74
S: 0.4049 0.9466 0.3188  1 P 2.16
S: 0.4701 0.5299 0.8875  4 Np 2.76-2.83, 1 S 3.04
S: 0.5299 0.4701 0.3875  4 Np 2.76-2.83, 1 S 3.04
S: 0.5951 0.0534 0.8188  1 P 2.16
S: 0.7435 0.2565 0.2394  3 Np 2.65-2.74
S: 0.8023 0.8561 0.2823  4 Np 2.73-2.82
S: 0.8561 0.8023 0.7823  4 Np 2.73-2.82
S: 0.9466 0.4049 0.8188  1 P 2.16

Properties
- Magnetization: 19.97 μB per cell
- Space group: Cmc2_1, No. 36
- Formation energy (no corrections): -1026 meV per atom


Entry 6:
The following is a PBE calculation of a relaxed K2Ga4Co crystal, from the Alexandria database.

a b c (Å): 9.6805 9.6805 9.6805
angles (deg): 152.36 152.36 39.48
Closest atoms and distances in Å follow each position.
Fractional positions:
K: 0.1724 0.1724 0.0000  5 Ga 3.38-3.69
K: 0.8276 0.8276 0.0000  5 Ga 3.38-3.69
Ga: 0.0000 0.5000 0.5000  2 Co 2.31
Ga: 0.3747 0.3747 0.0000  1 Co 2.28
Ga: 0.5000 0.0000 0.5000  2 Co 2.31
Ga: 0.6253 0.6253 0.0000  1 Co 2.28
Co: 0.5000 0.5000 0.0000  6 Ga 2.28-2.31

Properties
- Energy of formation from the pure elements: -0.04 eV per atom
- Magnetization: 0.63 μB per cell
- Space group: I4/mmm, No. 139


Entry 7:
The following is a PBE calculation of a relaxed LaInBr3 crystal, from the Alexandria database.

a b c (Å): 5.7402 5.7402 5.7402
angles (deg): 90.00 90.00 90.00
Closest atoms and distances in Å follow each position.
Fractional positions:
La: 0.0000 0.0000 0.0000  12 Br 4.06
In: 0.5000 0.5000 0.5000  6 Br 2.87
Br: 0.0000 0.5000 0.5000  2 In 2.87
Br: 0.5000 0.0000 0.5000  2 In 2.87
Br: 0.5000 0.5000 0.0000  2 In 2.87

Properties
- Magnetization: 1.31 μB per cell
- Space group: Pm-3m, No. 221
- Formation energy (no corrections): -540 meV per atom


Entry 8:
The following is a PBE calculation of a relaxed BaB3Pd crystal, from the Alexandria database.

a b c (Å): 4.8500 4.8500 4.8500
angles (deg): 90.00 90.00 90.00
Closest atoms and distances in Å follow each position.
Fractional positions:
Ba: 0.0000 0.0000 0.0000  6 B 2.43
B: 0.0000 0.0000 0.5000  2 Ba 2.43
B: 0.0000 0.5000 0.0000  2 Ba 2.43
B: 0.5000 0.0000 0.0000  2 Ba 2.43
Pd: 0.5000 0.5000 0.5000  12 B 3.43

Properties
- Energy of formation from the pure elements: 3.01 eV per atom
- Magnetization: 0.00 μB per cell
- E above lowest polymorph: 2.033 eV/atom
- Space group: Pm-3m, No. 221


Entry 9:
The following is a PBE calculation of a relaxed TaCoW crystal, from the Alexandria database.

a b c (Å): 4.1394 4.1394 4.1394
angles (deg): 60.00 60.00 60.00
Closest atoms and distances in Å follow each position.
Fractional positions:
Ta: 0.0000 0.0000 0.0000  4 Co 2.53
Co: 0.2500 0.2500 0.2500  4 W 2.53, 4 Ta 2.53
W: 0.5000 0.5000 0.5000  4 Co 2.53

Properties
- Energy of formation from the pure elements: 0.48 eV per atom
- Magnetization: 0.75 μB per cell
- E above lowest polymorph: 0.598 eV/atom
- Space group: F-43m, No. 216


Entry 10:
The following is a PBE calculation of a relaxed Ir4RhPb crystal, from the Alexandria database.

a b c (Å): 5.2842 5.2842 5.2842
angles (deg): 60.00 60.00 60.00
Closest atoms and distances in Å follow each position.
Fractional positions:
Ir: 0.3757 0.3757 0.3757  6 Ir 2.63-2.66
Ir: 0.3757 0.3757 0.8729  6 Ir 2.63-2.66
Ir: 0.3757 0.8729 0.3757  6 Ir 2.63-2.66
Ir: 0.8729 0.3757 0.3757  6 Ir 2.63-2.66
Rh: 0.7500 0.7500 0.7500  12 Ir 3.10, 4 Pb 3.24
Pb: 0.0000 0.0000 0.0000  12 Ir 3.10, 4 Rh 3.24

Properties
- Energy of formation from the pure elements: 0.62 eV per atom
- Magnetization: 4.07 μB per cell
- Space group: F-43m, No. 216


Entry 11:
The following is a PBE calculation of a relaxed Sr2ScMn crystal, from the Alexandria database.

a b c (Å): 6.8950 6.8950 6.8950
angles (deg): 148.30 128.95 61.35
Closest atoms and distances in Å follow each position.
Fractional positions:
Sr: 0.0000 0.0000 0.0000  2 Mn 3.36, 4 Sc 3.70
Sr: 0.7019 0.2019 0.5000  4 Mn 3.54, 4 Sr 3.77-3.82, 2 Sc 3.82
Sc: 0.4044 0.4044 0.0000  2 Mn 2.76
Mn: 0.2343 0.7343 0.5000  2 Sc 2.76

Properties
- Energy of formation from the pure elements: 0.42 eV per atom
- Magnetization: 2.82 μB per cell
- E above lowest polymorph: 0.122 eV/atom
- Space group: Imm2, No. 44


Entry 12:
The following is a PBE calculation of a relaxed La2CuPd crystal, from the Alexandria database.

a b c (Å): 4.4157 4.4157 7.2274
angles (deg): 107.83 107.83 60.04
Closest atoms and distances in Å follow each position.
Fractional positions:
La: 0.0000 0.0000 0.0000  3 Cu 3.10, 3 Pd 3.14
La: 0.1771 0.1771 0.5303  3 Pd 3.09, 3 Cu 3.13
Cu: 0.4204 0.4204 0.2609  3 Pd 2.55
Pd: 0.7573 0.7573 0.2711  3 Cu 2.55

Properties
- Energy of formation from the pure elements: -0.38 eV per atom
- Magnetization: 0.00 μB per cell
- Space group: Cm, No. 8